Density functional theory data (GGA-PBEsol) for KLi2Hg2 after structural relaxation.

abc: 8.3984 8.3984 3.2012
angles: 90.00 90.00 90.00
Positions (direct):
K (0.0000, 0.0000, 0.0000)
K (0.5000, 0.5000, 0.0000)
Li (0.1246, 0.3754, 0.0000)
Li (0.3754, 0.8754, 0.0000)
Li (0.6246, 0.1246, 0.0000)
Li (0.8754, 0.6246, 0.0000)
Hg (0.1634, 0.6634, 0.5000)
Hg (0.3366, 0.1634, 0.5000)
Hg (0.6634, 0.8366, 0.5000)
Hg (0.8366, 0.3366, 0.5000)

## Properties
symmetry: P4/mbm, No. 127
relative energy among the computed polymorphs: 0 meV per atom
raw total energy: -7.45 eV/f.u.
M_tot: 0.000 μB per formula unit